Entry 1:
Nd4Hg2C | the Alexandria database | PBE-GGA | optimized geometry; formation energy from the elements = -259 meV per atom; energy above the most stable polymorph in this dataset = 51.4 meV per atom; ρ = 8.2 g cm⁻³; N(E_F) = 1.0205 states/eV per atom; space-group type = I4/mmm
1.0
-0.527 0.873 -5.045
4.664 -2.010 -0.835
-5.189 -6.312 2.075
Nd Hg C
4 2 1
Cartesian
-0.007 -5.144 -3.515
-0.263 0.436 -2.523
-1.045 -2.305 -0.290
2.332 -1.005 -0.417
-2.315 -5.105 -0.642
1.263 -2.344 -3.163
0.000 0.000 0.000

***

Entry 2:
Nd4Hg2C | the Alexandria database | PBE-GGA | optimized geometry; formation energy from the elements = -310 meV per atom; energy above the most stable polymorph in this dataset = 0.0 meV per atom; ρ = 8.7 g cm⁻³; N(E_F) = 0.9322 states/eV per atom; space-group type = C2/m
1.0
-2.936 -1.358 2.169
2.343 -0.697 6.233
-2.421 6.390 4.221
Nd Hg C
4 2 1
Cartesian
-1.482 4.024 4.011
-0.570 -0.357 2.502
-1.532 0.311 8.612
-2.444 4.693 10.122
-1.238 3.322 7.398
-1.776 1.014 5.225
0.000 0.000 0.000

***

Entry 3:
Nd2HgC2 | the Alexandria database | PBE-GGA | optimized geometry; formation energy from the elements = -301 meV per atom; ρ = 8.0 g cm⁻³; N(E_F) = 0.3904 states/eV per atom; space-group type = C2/c
1.0
-2.558 -2.075 2.385
4.538 -5.436 0.138
3.049 5.705 4.767
Nd Hg C
4 2 4
Cartesian
2.517 -2.688 2.696
5.616 -1.158 3.885
2.512 0.883 4.594
-0.587 -0.648 3.406
0.939 -1.517 0.217
1.040 -5.994 2.307
0.572 1.700 3.000
1.518 -1.331 4.846
3.511 -0.475 2.445
4.457 -3.505 4.290

***

Entry 4:
Nd4Hg2C | the Alexandria database | PBE-GGA | optimized geometry; formation energy from the elements = -222 meV per atom; energy above the most stable polymorph in this dataset = 88.1 meV per atom; ρ = 8.1 g cm⁻³; N(E_F) = 1.3291 states/eV per atom; space-group type = Pbam
1.0
-2.950 0.083 -2.354
-3.577 -5.811 4.277
-5.831 9.208 7.632
Hg Nd C
4 8 2
Cartesian
-5.484 -0.171 3.839
-2.678 1.128 0.369
-6.874 3.651 5.717
-9.680 2.352 9.187
-4.873 3.011 3.187
-7.484 0.469 6.369
-2.435 -0.587 3.031
-4.372 5.606 5.676
-4.277 -3.661 2.204
-5.036 -2.209 6.233
-8.081 7.141 7.352
-6.973 3.984 8.879
-2.915 4.604 3.816
-1.789 -2.905 2.139

***

Entry 5:
Nd3HgC | the Alexandria database | PBE-GGA | optimized geometry; formation energy from the elements = -266 meV per atom; energy above the most stable polymorph in this dataset = 0.0 meV per atom; ρ = 8.2 g cm⁻³; N(E_F) = 0.9959 states/eV per atom; space-group type = Pnma
1.0
3.767 0.000 0.000
0.000 9.009 0.000
0.000 0.000 15.438
C Nd Hg
4 12 4
Cartesian
0.942 5.898 8.547
0.942 1.394 14.610
2.825 3.110 6.891
2.825 7.614 0.828
0.942 1.593 7.776
2.825 7.415 7.662
0.942 0.234 1.512
2.825 1.937 4.670
0.942 6.098 15.381
2.825 4.271 9.231
2.825 2.911 0.057
0.942 2.567 12.389
2.825 8.775 13.926
0.942 4.738 6.207
0.942 7.071 10.768
2.825 6.441 3.049
0.942 8.252 5.049
2.825 0.757 10.388
0.942 3.747 2.670
2.825 5.261 12.768

***

Entry 6:
Nd3HgC | the Alexandria database | PBE-GGA | optimized geometry; formation energy from the elements = -205 meV per atom; energy above the most stable polymorph in this dataset = 61.3 meV per atom; ρ = 8.1 g cm⁻³; N(E_F) = 1.0503 states/eV per atom; space-group type = Pm-3m
1.0
5.105 0.000 0.000
0.000 5.105 0.000
0.000 0.000 5.105
Nd C Hg
3 1 1
Cartesian
2.552 0.000 0.000
0.000 2.552 0.000
0.000 0.000 2.552
0.000 0.000 0.000
2.552 2.552 2.552

***

Values for total magnetic moment, μB per formula unit, ordered as above
0.00; 0.00; 0.00; 0.28; 0.00; 0.00